No. 1
Computed, not measured: crystalline LiMn2Os at its relaxed geometry at the GGA-PBE level of DFT.

Properties
Formation enthalpy at 0 K = 0.23 eV/atom
Raw total energy = -7.643 eV/atom

a b c (Å): 3.559 3.742 3.850
angles (deg): 90.00 90.00 90.00
Sites, in units of the cell vectors:
Li (0.000, 0.000, 0.000)
Mn (0.000, 0.500, 0.500)
Mn (0.500, 0.500, 0.000)
Os (0.500, 0.000, 0.500)

***

No. 2
Computed, not measured: crystalline Dy15Y4Sc at its relaxed geometry at the GGA-PBE level of DFT.

Properties
Formation enthalpy at 0 K = 0.03 eV/atom
Raw total energy = -5.036 eV/atom

a b c (Å): 5.002 5.002 24.960
angles (deg): 90.00 90.00 90.00
Sites, in units of the cell vectors:
Dy (0.000, 0.000, 0.000)
Dy (0.000, 0.000, 0.197)
Dy (0.000, 0.000, 0.399)
Dy (0.000, 0.000, 0.601)
Dy (0.000, 0.000, 0.803)
Dy (0.000, 0.500, 0.096)
Dy (0.000, 0.500, 0.298)
Dy (0.000, 0.500, 0.500)
Dy (0.000, 0.500, 0.702)
Dy (0.000, 0.500, 0.904)
Dy (0.500, 0.000, 0.096)
Dy (0.500, 0.000, 0.298)
Dy (0.500, 0.000, 0.500)
Dy (0.500, 0.000, 0.702)
Dy (0.500, 0.000, 0.904)
Y (0.500, 0.500, 0.198)
Y (0.500, 0.500, 0.399)
Y (0.500, 0.500, 0.601)
Y (0.500, 0.500, 0.802)
Sc (0.500, 0.500, 0.000)

***

No. 3
Computed, not measured: crystalline CaTePd at its relaxed geometry at the GGA-PBE level of DFT.

Properties
ΔE_f (raw) = -570.1 meV per atom
Raw total energy = -4.016 eV/atom

a b c (Å): 5.228 5.228 10.139
angles (deg): 90.00 90.00 120.00
Sites, in units of the cell vectors:
Ca (0.333, 0.667, 0.250)
Ca (0.667, 0.333, 0.750)
Te (0.000, 0.000, 0.250)
Te (0.000, 0.000, 0.750)
Pd (0.000, 0.000, 0.000)
Pd (0.000, 0.000, 0.500)

***

No. 4
Computed, not measured: crystalline Li3H8Ir at its relaxed geometry at the GGA-PBE level of DFT.

Properties
Raw total energy = -3.614 eV/atom

a b c (Å): 5.410 5.410 5.410
angles (deg): 132.81 132.81 68.96
Sites, in units of the cell vectors:
Li (0.000, 0.000, 0.000)
Li (0.250, 0.750, 0.500)
Li (0.750, 0.250, 0.500)
H (0.158, 0.158, 0.538)
H (0.158, 0.620, 0.000)
H (0.380, 0.380, 0.538)
H (0.380, 0.842, 0.000)
H (0.620, 0.158, 0.000)
H (0.620, 0.620, 0.462)
H (0.842, 0.380, 0.000)
H (0.842, 0.842, 0.462)
Ir (0.500, 0.500, 0.000)

***

No. 5
Computed, not measured: crystalline Zr2ScCu4 at its relaxed geometry at the GGA-PBE level of DFT.

Properties
Formation enthalpy at 0 K = 0.08 eV/atom
Raw total energy = -5.607 eV/atom

a b c (Å): 6.666 6.666 6.666
angles (deg): 138.96 138.96 59.44
Sites, in units of the cell vectors:
Zr (0.220, 0.220, 0.000)
Zr (0.780, 0.780, 0.000)
Sc (0.500, 0.500, 0.000)
Cu (0.112, 0.612, 0.500)
Cu (0.388, 0.888, 0.500)
Cu (0.612, 0.112, 0.500)
Cu (0.888, 0.388, 0.500)

***

No. 6
Computed, not measured: crystalline Hf2TlTe2 at its relaxed geometry at the GGA-PBE level of DFT.

Properties
ΔE_f (raw) = -288.3 meV per atom
Raw total energy = -6.000 eV/atom

a b c (Å): 8.474 8.474 8.474
angles (deg): 150.66 150.66 41.98
Sites, in units of the cell vectors:
Hf (0.250, 0.750, 0.500)
Hf (0.750, 0.250, 0.500)
Tl (0.000, 0.000, 0.000)
Te (0.377, 0.377, 0.000)
Te (0.623, 0.623, 0.000)

***

No. 7
Computed, not measured: crystalline Sr3InBi at its relaxed geometry at the GGA-PBE level of DFT.

Properties
Formation enthalpy at 0 K = -0.56 eV/atom
Raw total energy = -2.892 eV/atom

a b c (Å): 9.172 9.172 9.789
angles (deg): 94.88 94.88 29.37
Sites, in units of the cell vectors:
Sr (0.049, 0.049, 0.172)
Sr (0.240, 0.240, 0.823)
Sr (0.396, 0.396, 0.419)
Sr (0.604, 0.604, 0.581)
Sr (0.760, 0.760, 0.177)
Sr (0.951, 0.951, 0.828)
In (0.204, 0.204, 0.421)
In (0.796, 0.796, 0.579)
Bi (0.393, 0.393, 0.073)
Bi (0.607, 0.607, 0.927)

***

No. 8
Computed, not measured: crystalline BaTaIr2 at its relaxed geometry at the GGA-PBE level of DFT.

Properties
Formation enthalpy at 0 K = 0.79 eV/atom
Raw total energy = -7.082 eV/atom

a b c (Å): 5.234 5.234 5.234
angles (deg): 131.57 131.57 70.91
Sites, in units of the cell vectors:
Ba (0.000, 0.000, 0.000)
Ta (0.750, 0.250, 0.500)
Ir (0.250, 0.750, 0.500)
Ir (0.500, 0.500, 0.000)

***

Q: Look up the raw total energy of the second one.
A: -5.036 eV/atom

***

Q: Number 8 is which compound?
A: BaTaIr2

***

Repeat the fifth record exactly.
Computed, not measured: crystalline Zr2ScCu4 at its relaxed geometry at the GGA-PBE level of DFT.

Properties
Formation enthalpy at 0 K = 0.08 eV/atom
Raw total energy = -5.607 eV/atom

a b c (Å): 6.666 6.666 6.666
angles (deg): 138.96 138.96 59.44
Sites, in units of the cell vectors:
Zr (0.220, 0.220, 0.000)
Zr (0.780, 0.780, 0.000)
Sc (0.500, 0.500, 0.000)
Cu (0.112, 0.612, 0.500)
Cu (0.388, 0.888, 0.500)
Cu (0.612, 0.112, 0.500)
Cu (0.888, 0.388, 0.500)